Record 1
Here is Cs2Cd2HgSe4 after structural relaxation from Alexandria. Energies are from PBE-GGA.

Results
total magnetization	0.000	μB/atom
formation energy (no corrections)	-0.75	eV per atom
theoretical density	5.53	g/cm3

a = 18.1699 Å, b = 4.2697 Å, c = 8.1790 Å
α = 90.00°, β = 107.61°, γ = 90.00°
Last column: nearest neighbours and their distance in Å.
Space group C2/m (No. 12)
Inequivalent atoms, fractional coordinates:
Cs 0.1231 0.0000 0.0266  7 Se 3.67-3.84
Cd 0.1727 0.5000 0.4945  4 Se 2.67-2.81
Hg 0.0000 0.0000 0.5000  4 Se 2.85
Se 0.0265 0.5000 0.2934  1 Cd 2.67, 2 Hg 2.85
Se 0.2231 0.0000 0.6985  3 Cd 2.69-2.81

***

Record 2
Here is La3DyEr7 after structural relaxation from Alexandria. Energies are from PBE-GGA.

Results
DOS at the Fermi energy	29.40	states/eV/cell
total magnetization	0.013	μB/atom
ΔH_f (0 K)	284.3	meV/atom
E above lowest polymorph	162	meV/atom
theoretical density	7.89	g/cm3

a = 12.6588 Å, b = 11.2090 Å, c = 5.8506 Å
α = 90.00°, β = 117.46°, γ = 90.00°
Last column: nearest neighbours and their distance in Å.
Space group C2/m (No. 12)
Inequivalent atoms, fractional coordinates:
La 0.0000 0.0000 0.0000  4 Er 3.21
La 0.0000 0.2156 0.5000  5 Er 3.19-3.44
Dy 0.0000 0.5000 0.0000  2 Er 2.93
Er 0.0000 0.5000 0.5000  2 Dy 2.93, 2 La 3.19
Er 0.2064 0.1983 0.2063  2 La 3.21-3.44, 3 Er 3.29-3.52
Er 0.2080 0.0000 0.7073  1 Dy 3.28, 2 La 3.36, 4 Er 3.52-3.67

***

Record 3
Here is TbPr4Ho2Tm after structural relaxation from Alexandria. Energies are from PBE-GGA.

Results
DOS at the Fermi energy	10.35	states/eV/cell
total magnetization	0.000	μB/atom
ΔH_f (0 K)	16.9	meV/atom
theoretical density	7.58	g/cm3

a = 5.1520 Å, b = 5.1777 Å, c = 10.0358 Å
α = 90.00°, β = 90.00°, γ = 90.00°
Last column: nearest neighbours and their distance in Å.
Space group Pmmm (No. 47)
Inequivalent atoms, fractional coordinates:
Tb 0.0000 0.0000 0.0000  8 Pr 3.60-3.61, 4 Ho 3.65
Pr 0.0000 0.5000 0.2512  2 Tm 3.59, 4 Ho 3.60, 2 Tb 3.61, 4 Pr 3.65
Pr 0.5000 0.0000 0.2513  4 Ho 3.59-3.61, 2 Tm 3.60, 2 Tb 3.60, 4 Pr 3.65
Ho 0.0000 0.0000 0.5000  8 Pr 3.59-3.60, 4 Tm 3.65
Ho 0.5000 0.5000 0.0000  8 Pr 3.60-3.61, 4 Tb 3.65
Tm 0.5000 0.5000 0.5000  8 Pr 3.59-3.60, 4 Ho 3.65

***

Record 4
Here is AcSmI after structural relaxation from Alexandria. Energies are from PBE-GGA.

Results
DOS at the Fermi energy	8.87	states/eV/cell
total magnetization	0.000	μB/atom
E above lowest polymorph	73	meV/atom
formation energy (no corrections)	-0.48	eV per atom
theoretical density	7.49	g/cm3

a = 3.8745 Å, b = 3.8745 Å, c = 14.8861 Å
α = 90.00°, β = 90.00°, γ = 90.00°
Last column: nearest neighbours and their distance in Å.
Space group I4mm (No. 107)
Inequivalent atoms, fractional coordinates:
Ac 0.0000 0.0000 0.0000  4 Sm 3.80, 4 I 3.83, 4 Ac 3.87
Sm 0.0000 0.0000 0.6765  4 I 3.48, 4 Ac 3.80, 4 Sm 3.87
I 0.0000 0.0000 0.3206  4 Sm 3.48, 4 Ac 3.83, 4 I 3.87

***

Record 5
Here is SrLiInO3 after structural relaxation from Alexandria. Energies are from PBE-GGA.

Results
DOS at the Fermi energy	0.00	states/eV/cell
total magnetization	0.000	μB/atom
formation energy (no corrections)	-2.03	eV per atom
theoretical density	5.26	g/cm3

a = 6.9852 Å, b = 3.3694 Å, c = 7.1398 Å
α = 90.00°, β = 104.73°, γ = 90.00°
Last column: nearest neighbours and their distance in Å.
Space group P2_1/m (No. 11)
Inequivalent atoms, fractional coordinates:
Sr 0.1949 0.2500 0.2346  7 O 2.56-2.72, 1 Li 2.83
Li 0.0890 0.2500 0.5923  4 O 1.90-1.94
In 0.3314 0.7500 0.8337  6 O 2.18-2.28
O 0.1209 0.2500 0.8640  1 Li 1.90
O 0.1919 0.7500 0.5230  3 Li 1.93-1.94
O 0.4469 0.7500 0.1560  3 In 2.24-2.28

***

Record 6
Here is In2MoW after structural relaxation from Alexandria. Energies are from PBE-GGA.

Results
DOS at the Fermi energy	18.00	states/eV/cell
total magnetization	0.192	μB/atom
ΔH_f (0 K)	1144.4	meV/atom
E above lowest polymorph	847	meV/atom
theoretical density	10.43	g/cm3

a = 7.5801 Å, b = 7.5801 Å, c = 5.6442 Å
α = 90.00°, β = 90.00°, γ = 90.00°
Last column: nearest neighbours and their distance in Å.
Space group I-42d (No. 122)
Inequivalent atoms, fractional coordinates:
In 0.2491 0.7500 0.1250  2 Mo 2.77, 2 W 2.78, 2 In 2.82
Mo 0.0000 0.0000 0.0000  4 In 2.77, 2 W 2.82
W 0.0000 0.0000 0.5000  4 In 2.78, 2 Mo 2.82

***

theoretical density of number 5 (SrLiInO3)? 5.26 g/cm3